# 1
# MnHg2Pb (PBE, optimized geometry)
# **Spin magnetization**: 4.23 μB per cell
# **Energy of formation**: 0.30 eV per atom
# **Volume**: 23.28 A^3/atom
data_MnHg2Pb
_symmetry_space_group_name_H-M 'P 1'
_symmetry_Int_Tables_number 1
_symmetry_space_group_name_Hall 'P 1'
_cell_length_a 4.401
_cell_length_b 4.397
_cell_length_c 4.811
_cell_angle_alpha 90.00
_cell_angle_beta 90.00
_cell_angle_gamma 90.00
loop_
_atom_site_label
_atom_site_type_symbol
_atom_site_fract_x
_atom_site_fract_y
_atom_site_fract_z
Hg1 Hg 0.000 0.000 0.000
Hg2 Hg 0.500 0.500 0.000
Mn1 Mn 0.500 0.000 0.500
Pb1 Pb 0.000 0.500 0.500

# 2
# MnHgPb2 (PBE, optimized geometry)
# **Spin magnetization**: 4.69 μB per cell
# **Energy of formation**: 0.38 eV per atom
# **Volume**: 26.43 A^3/atom
data_MnHgPb2
_symmetry_space_group_name_H-M 'P 1'
_symmetry_Int_Tables_number 1
_symmetry_space_group_name_Hall 'P 1'
_cell_length_a 5.308
_cell_length_b 5.308
_cell_length_c 5.308
_cell_angle_alpha 60.00
_cell_angle_beta 60.00
_cell_angle_gamma 60.00
loop_
_atom_site_label
_atom_site_type_symbol
_atom_site_fract_x
_atom_site_fract_y
_atom_site_fract_z
Hg1 Hg 0.500 0.500 0.500
Pb1 Pb 0.250 0.250 0.250
Pb2 Pb 0.000 0.000 0.000
Mn1 Mn 0.750 0.750 0.750

# 3
# MnHg2Pb (PBE, optimized geometry)
# **Spin magnetization**: 4.11 μB per cell
# **Energy of formation**: 0.33 eV per atom
# **Volume**: 23.59 A^3/atom
data_MnHg2Pb
_symmetry_space_group_name_H-M 'P 1'
_symmetry_Int_Tables_number 1
_symmetry_space_group_name_Hall 'P 1'
_cell_length_a 5.707
_cell_length_b 5.707
_cell_length_c 5.707
_cell_angle_alpha 134.09
_cell_angle_beta 134.09
_cell_angle_gamma 66.95
loop_
_atom_site_label
_atom_site_type_symbol
_atom_site_fract_x
_atom_site_fract_y
_atom_site_fract_z
Hg1 Hg 0.000 0.000 0.000
Hg2 Hg 0.250 0.750 0.500
Mn1 Mn 0.500 0.500 0.000
Pb1 Pb 0.750 0.250 0.500